Record 1
The following is a DFT calculation (GGA-PBE) of an optimized crystal structure of PmSc3B.

Summary:
- Raw total energy: -6.10 eV per atom
- Energy of formation from the pure elements: -1.95 kJ/mol of atoms

The structure in CIF format:
```
data_PmSc3B
_chemical_formula_sum 'Pm1 Sc3 B1'
_cell_length_a 4.843
_cell_length_b 4.843
_cell_length_c 4.843
_cell_angle_alpha 90.00
_cell_angle_beta 90.00
_cell_angle_gamma 90.00
_symmetry_space_group_name_H-M 'P m -3 m'
_symmetry_Int_Tables_number 221
_symmetry_space_group_name_Hall '-P 4 2 3'
loop_
_atom_site_label
_atom_site_type_symbol
_atom_site_fract_x
_atom_site_fract_y
_atom_site_fract_z
Pm1 Pm 0.000 0.000 0.000
Sc1 Sc 0.000 0.500 0.500
B1 B 0.500 0.500 0.500
```



Record 2
The following is a DFT calculation (GGA-PBE) of an optimized crystal structure of CaTb4.

Summary:
- Raw total energy: -3.27 eV per atom
- Energy of formation from the pure elements: 80.98 kJ/mol of atoms

The structure in CIF format:
```
data_CaTb4
_chemical_formula_sum 'Ca1 Tb4'
_cell_length_a 5.635
_cell_length_b 5.635
_cell_length_c 5.635
_cell_angle_alpha 90.00
_cell_angle_beta 90.00
_cell_angle_gamma 90.00
_symmetry_space_group_name_H-M 'P m -3 m'
_symmetry_Int_Tables_number 221
_symmetry_space_group_name_Hall '-P 4 2 3'
loop_
_atom_site_label
_atom_site_type_symbol
_atom_site_fract_x
_atom_site_fract_y
_atom_site_fract_z
Ca1 Ca 0.000 0.000 0.000
Tb1 Tb 0.000 0.000 0.500
Tb2 Tb 0.500 0.500 0.500
```



Record 3
The following is a DFT calculation (GGA-PBE) of an optimized crystal structure of CaDyZnPd.

Summary:
- Raw total energy: -3.83 eV per atom
- Energy above the most stable polymorph in this dataset: 0.000 eV per atom
- Energy of formation from the pure elements: -53.80 kJ/mol of atoms

The structure in CIF format:
```
data_CaDyZnPd
_chemical_formula_sum 'Ca1 Dy1 Zn1 Pd1'
_cell_length_a 3.565
_cell_length_b 3.565
_cell_length_c 7.243
_cell_angle_alpha 90.00
_cell_angle_beta 90.00
_cell_angle_gamma 90.00
_symmetry_space_group_name_H-M 'P 4 m m'
_symmetry_Int_Tables_number 99
loop_
_symmetry_equiv_pos_as_xyz
'x,y,z'
'-y,x,z'
'-x,-y,z'
'y,-x,z'
'-x,y,z'
'y,x,z'
'x,-y,z'
'-y,-x,z'
loop_
_atom_site_label
_atom_site_type_symbol
_atom_site_fract_x
_atom_site_fract_y
_atom_site_fract_z
Ca1 Ca 0.000 0.000 0.000
Dy1 Dy 0.000 0.000 0.481
Zn1 Zn 0.500 0.500 0.722
Pd1 Pd 0.500 0.500 0.276
```



Record 4
The following is a DFT calculation (GGA-PBE) of an optimized crystal structure of BiSeIO2.

Summary:
- Raw total energy: -3.85 eV per atom
- Energy above the most stable polymorph in this dataset: 0.000 eV per atom
- ΔE_f (raw): -0.088 eV per atom

The structure in CIF format:
```
data_BiSeIO2
_chemical_formula_sum 'Bi1 Se1 I1 O2'
_cell_length_a 4.211
_cell_length_b 4.211
_cell_length_c 7.460
_cell_angle_alpha 90.00
_cell_angle_beta 90.00
_cell_angle_gamma 90.00
_symmetry_space_group_name_H-M 'P 4/m m m'
_symmetry_Int_Tables_number 123
_symmetry_space_group_name_Hall '-P 4 2'
loop_
_atom_site_label
_atom_site_type_symbol
_atom_site_fract_x
_atom_site_fract_y
_atom_site_fract_z
Bi1 Bi 0.000 0.000 0.000
Se1 Se 0.500 0.500 0.500
I1 I 0.000 0.000 0.500
O1 O 0.000 0.500 0.000
```



Record 5
The following is a DFT calculation (GGA-PBE) of an optimized crystal structure of Nd2ScAg6.

Summary:
- Raw total energy: -3.85 eV per atom
- Energy of formation from the pure elements: -17.91 kJ/mol of atoms

The structure in CIF format:
```
data_Nd2ScAg6
_chemical_formula_sum 'Nd4 Sc2 Ag12'
_cell_length_a 5.363
_cell_length_b 16.379
_cell_length_c 5.293
_cell_angle_alpha 90.00
_cell_angle_beta 119.64
_cell_angle_gamma 90.00
_symmetry_space_group_name_H-M 'C 1 2/m 1'
_symmetry_Int_Tables_number 12
loop_
_symmetry_equiv_pos_as_xyz
'x,y,z'
'-x,-y,-z'
'-x,y,-z'
'x,-y,z'
'x+1/2,y+1/2,z'
'-x+1/2,-y+1/2,-z'
'-x+1/2,y+1/2,-z'
'x+1/2,-y+1/2,z'
loop_
_atom_site_label
_atom_site_type_symbol
_atom_site_fract_x
_atom_site_fract_y
_atom_site_fract_z
Nd1 Nd 0.000 0.164 0.000
Sc1 Sc 0.000 0.000 0.500
Ag1 Ag 0.154 0.500 0.820
Ag2 Ag 0.169 0.343 0.336
```



Record 6
The following is a DFT calculation (GGA-PBE) of an optimized crystal structure of CsRb3B.

Summary:
- Raw total energy: -1.33 eV per atom
- Energy above the most stable polymorph in this dataset: 0.000 eV per atom
- Energy of formation from the pure elements: 73.11 kJ/mol of atoms

The structure in CIF format:
```
data_CsRb3B
_chemical_formula_sum 'Cs1 Rb3 B1'
_cell_length_a 6.895
_cell_length_b 6.895
_cell_length_c 6.895
_cell_angle_alpha 90.00
_cell_angle_beta 90.00
_cell_angle_gamma 90.00
_symmetry_space_group_name_H-M 'P m -3 m'
_symmetry_Int_Tables_number 221
_symmetry_space_group_name_Hall '-P 4 2 3'
loop_
_atom_site_label
_atom_site_type_symbol
_atom_site_fract_x
_atom_site_fract_y
_atom_site_fract_z
Cs1 Cs 0.000 0.000 0.000
Rb1 Rb 0.000 0.500 0.500
B1 B 0.500 0.500 0.500
```



Record 7
The following is a DFT calculation (GGA-PBE) of an optimized crystal structure of SmY2N.

Summary:
- Raw total energy: -7.27 eV per atom
- ΔE_f (raw): -0.780 eV per atom

The structure in CIF format:
```
data_SmY2N
_chemical_formula_sum 'Sm3 Y6 N3'
_cell_length_a 3.5133
_cell_length_b 3.5133
_cell_length_c 27.2058
_cell_angle_alpha 90.00
_cell_angle_beta 90.00
_cell_angle_gamma 120.00
_symmetry_space_group_name_H-M 'R -3 m'
_symmetry_Int_Tables_number 166
_symmetry_space_group_name_Hall '-R 3 2"'
loop_
_atom_site_label
_atom_site_type_symbol
_atom_site_fract_x
_atom_site_fract_y
_atom_site_fract_z
Sm1 Sm 0.0000 0.0000 0.0000
Y1 Y 0.0000 0.0000 0.2166
N1 N 0.0000 0.0000 0.5000
```



Record 8
The following is a DFT calculation (GGA-PBE) of an optimized crystal structure of LiCaW2.

Summary:
- Raw total energy: -6.66 eV per atom
- Energy above the most stable polymorph in this dataset: 0.280 eV per atom
- Energy of formation from the pure elements: 77.01 kJ/mol of atoms

The structure in CIF format:
```
data_LiCaW2
_chemical_formula_sum 'Li2 Ca2 W4'
_cell_length_a 3.318
_cell_length_b 4.243
_cell_length_c 10.193
_cell_angle_alpha 90.00
_cell_angle_beta 90.00
_cell_angle_gamma 90.00
_symmetry_space_group_name_H-M 'C m m m'
_symmetry_Int_Tables_number 65
_symmetry_space_group_name_Hall '-C 2 2'
loop_
_atom_site_label
_atom_site_type_symbol
_atom_site_fract_x
_atom_site_fract_y
_atom_site_fract_z
Li1 Li 0.000 0.000 0.000
Ca1 Ca 0.000 0.000 0.500
W1 W 0.000 0.500 0.237
```



Record 9
The following is a DFT calculation (GGA-PBE) of an optimized crystal structure of BRh2PbW.

Summary:
- Raw total energy: -6.53 eV per atom
- Energy of formation from the pure elements: 104.07 kJ/mol of atoms

The structure in CIF format:
```
data_BRh2PbW
_chemical_formula_sum 'B1 Rh2 Pb1 W1'
_cell_length_a 4.805
_cell_length_b 4.805
_cell_length_c 4.312
_cell_angle_alpha 90.00
_cell_angle_beta 90.00
_cell_angle_gamma 90.00
_symmetry_space_group_name_H-M 'P 4/m m m'
_symmetry_Int_Tables_number 123
_symmetry_space_group_name_Hall '-P 4 2'
loop_
_atom_site_label
_atom_site_type_symbol
_atom_site_fract_x
_atom_site_fract_y
_atom_site_fract_z
B1 B 0.000 0.000 0.000
Rh1 Rh 0.000 0.500 0.500
Pb1 Pb 0.500 0.500 0.000
W1 W 0.000 0.000 0.500
```



Record 10
The following is a DFT calculation (GGA-PBE) of an optimized crystal structure of CsZrP2Se8.

Summary:
- Raw total energy: -4.46 eV per atom
- ΔE_f (raw): -0.453 eV per atom

The structure in CIF format:
```
data_CsZrP2Se8
_chemical_formula_sum 'Cs3 Zr3 P6 Se24'
_cell_length_a 6.5090
_cell_length_b 6.5090
_cell_length_c 30.7012
_cell_angle_alpha 90.00
_cell_angle_beta 90.00
_cell_angle_gamma 120.00
_symmetry_space_group_name_H-M 'R -3'
_symmetry_Int_Tables_number 148
_symmetry_space_group_name_Hall '-R 3'
loop_
_atom_site_label
_atom_site_type_symbol
_atom_site_fract_x
_atom_site_fract_y
_atom_site_fract_z
Cs1 Cs 0.0000 0.0000 0.0000
Zr1 Zr 0.0000 0.0000 0.5000
P1 P 0.0000 0.0000 0.2361
Se1 Se 0.0000 0.0000 0.3064
Se2 Se 0.0108 0.3226 0.8811
```



Record 11
The following is a DFT calculation (GGA-PBE) of an optimized crystal structure of LuAlBi2.

Summary:
- Raw total energy: -3.77 eV per atom
- Energy of formation from the pure elements: 22.75 kJ/mol of atoms

The structure in CIF format:
```
data_LuAlBi2
_chemical_formula_sum 'Lu3 Al3 Bi6'
_cell_length_a 3.7077
_cell_length_b 3.7077
_cell_length_c 30.7741
_cell_angle_alpha 90.00
_cell_angle_beta 90.00
_cell_angle_gamma 120.00
_symmetry_space_group_name_H-M 'R -3 m'
_symmetry_Int_Tables_number 166
_symmetry_space_group_name_Hall '-R 3 2"'
loop_
_atom_site_label
_atom_site_type_symbol
_atom_site_fract_x
_atom_site_fract_y
_atom_site_fract_z
Lu1 Lu 0.0000 0.0000 0.0000
Al1 Al 0.0000 0.0000 0.5000
Bi1 Bi 0.0000 0.0000 0.1022
```



Record 12
The following is a DFT calculation (GGA-PBE) of an optimized crystal structure of KRb2ZnI6.

Summary:
- Raw total energy: -2.26 eV per atom
- ΔE_f (raw): -0.903 eV per atom

The structure in CIF format:
```
data_KRb2ZnI6
_chemical_formula_sum 'K4 Rb8 Zn4 I24'
_cell_length_a 12.349
_cell_length_b 12.349
_cell_length_c 12.349
_cell_angle_alpha 90.00
_cell_angle_beta 90.00
_cell_angle_gamma 90.00
_symmetry_space_group_name_H-M 'F m -3 m'
_symmetry_Int_Tables_number 225
_symmetry_space_group_name_Hall '-F 4 2 3'
loop_
_atom_site_label
_atom_site_type_symbol
_atom_site_fract_x
_atom_site_fract_y
_atom_site_fract_z
K1 K 0.000 0.000 0.000
Rb1 Rb 0.250 0.250 0.250
Zn1 Zn 0.000 0.000 0.500
I1 I 0.000 0.000 0.271
```